Record 1
# AcPaAsO6, optimized geometry, DFT PBE
# Calculated volume in A^3/atom: 15.99
# Raw formation energy in eV/atom: -2.5456
# N(E_F) in states/eV/atom: 0.52
data_AcPaAsO6
_chemical_formula_sum 'Ac2 Pa2 As2 O12'
_cell_length_a 5.2103
_cell_length_b 5.2103
_cell_length_c 10.6030
_cell_angle_alpha 90.00
_cell_angle_beta 90.00
_cell_angle_gamma 90.00
_space_group_name_H-M_alt 'P 42 n m'
_space_group_IT_number 102
loop_
_space_group_symop_operation_xyz
'x,y,z'
'-y+1/2,x+1/2,z+1/2'
'-x,-y,z'
'y+1/2,-x+1/2,z+1/2'
'-x+1/2,y+1/2,z+1/2'
'y,x,z'
'x+1/2,-y+1/2,z+1/2'
'-y,-x,z'
loop_
_atom_site_label
_atom_site_type_symbol
_atom_site_fract_x
_atom_site_fract_y
_atom_site_fract_z
_atom_site_occupancy
Ac1 Ac 0.0000 0.0000 0.0000 1
Pa1 Pa 0.0000 0.0000 0.6662 1
As1 As 0.0000 0.0000 0.3454 1
O1 O 0.1695 0.1695 0.4727 1
O2 O 0.2230 0.2230 0.8095 1
O3 O 0.2239 0.2239 0.1692 1



Record 2
# AcPaAs2O, optimized geometry, DFT PBE
# Calculated volume in A^3/atom: 25.69
# Raw formation energy in eV/atom: -1.6285
# N(E_F) in states/eV/atom: 0.57
data_AcPaAs2O
_chemical_formula_sum 'Ac2 Pa2 As4 O2'
_cell_length_a 4.1470
_cell_length_b 4.1470
_cell_length_c 14.9392
_cell_angle_alpha 90.00
_cell_angle_beta 90.00
_cell_angle_gamma 90.00
_space_group_name_H-M_alt 'P 4/n m m'
_space_group_IT_number 129
loop_
_space_group_symop_operation_xyz
'x,y,z'
'-x,-y,-z'
'-y+1/2,x,z'
'y+1/2,-x,-z'
'-x+1/2,-y+1/2,z'
'x+1/2,y+1/2,-z'
'y,-x+1/2,z'
'-y,x+1/2,-z'
'x+1/2,-y,-z'
'-x+1/2,y,z'
'-y,-x,-z'
'y,x,z'
'-x,y+1/2,-z'
'x,-y+1/2,z'
'y+1/2,x+1/2,-z'
'-y+1/2,-x+1/2,z'
loop_
_atom_site_label
_atom_site_type_symbol
_atom_site_fract_x
_atom_site_fract_y
_atom_site_fract_z
_atom_site_occupancy
Ac1 Ac 0.2500 0.2500 0.0885 1
Pa1 Pa 0.2500 0.2500 0.6100 1
As1 As 0.2500 0.2500 0.4115 1
As2 As 0.2500 0.2500 0.7871 1
O1 O 0.2500 0.7500 0.0000 1



Question: Among the records above, which one has the lowest calculated volume?
Answer: AcPaAsO6



Please write out number 1 again, unchanged.
# AcPaAsO6, optimized geometry, DFT PBE
# Calculated volume in A^3/atom: 15.99
# Raw formation energy in eV/atom: -2.5456
# N(E_F) in states/eV/atom: 0.52
data_AcPaAsO6
_chemical_formula_sum 'Ac2 Pa2 As2 O12'
_cell_length_a 5.2103
_cell_length_b 5.2103
_cell_length_c 10.6030
_cell_angle_alpha 90.00
_cell_angle_beta 90.00
_cell_angle_gamma 90.00
_space_group_name_H-M_alt 'P 42 n m'
_space_group_IT_number 102
loop_
_space_group_symop_operation_xyz
'x,y,z'
'-y+1/2,x+1/2,z+1/2'
'-x,-y,z'
'y+1/2,-x+1/2,z+1/2'
'-x+1/2,y+1/2,z+1/2'
'y,x,z'
'x+1/2,-y+1/2,z+1/2'
'-y,-x,z'
loop_
_atom_site_label
_atom_site_type_symbol
_atom_site_fract_x
_atom_site_fract_y
_atom_site_fract_z
_atom_site_occupancy
Ac1 Ac 0.0000 0.0000 0.0000 1
Pa1 Pa 0.0000 0.0000 0.6662 1
As1 As 0.0000 0.0000 0.3454 1
O1 O 0.1695 0.1695 0.4727 1
O2 O 0.2230 0.2230 0.8095 1
O3 O 0.2239 0.2239 0.1692 1